PrGdTmGa | GGA-PBE | optimized geometry

Unit cell a=5.389 b=5.389 c=5.389 alpha=60.00 beta=60.00 gamma=60.00
Fractional coordinates of all 4 atoms:
Pr: 0.000 0.000 0.000
Gd: 0.500 0.500 0.500
Tm: 0.750 0.750 0.750
Ga: 0.250 0.250 0.250

Computed properties:
Energy relative to the elements, eV/atom: -0.1205
DOS(E_F), states/eV per cell: 4.77
M_tot, μB/f.u.: 8.2